The following is a PBE-GGA calculation of a relaxed structure of CoSiNi2, from Alexandria.

Lattice parameters (Å, degrees): 3.6474 4.9230 4.8951 100.28 90.00 90.00
Each line ends with the local moment (μB).
Positions (direct):
Co (0.2500, 0.4001, 0.6676)  0.13
Si (0.2500, 0.3274, 0.1796)  -0.01
Ni (0.2500, 0.8335, 0.1014)  0.02
Ni (0.2500, 0.8916, 0.6129)  0.05
Si (0.7500, 0.6726, 0.8204)  -0.01
Ni (0.7500, 0.1084, 0.3871)  0.05
Ni (0.7500, 0.1665, 0.8986)  0.02
Co (0.7500, 0.5999, 0.3324)  0.13

Output
SG: P2_1/m
DFT total energy in eV/cell: -51.102